No. 1
The following is a PBE calculation of a relaxed YFe2Rh crystal, from Alexandria via LeMat-Bulk.

a b c (Å): 5.2119 5.2119 5.2119
angles (deg): 143.79 128.28 64.76
Last column: nearest neighbours and their distance in Å.
Sites, in units of the cell vectors:
Y 0.0000 0.0000 0.0000  8 Fe 2.79-3.01, 4 Rh 2.86-3.05
Fe 0.2754 0.7754 0.5000  2 Fe 2.49
Fe 0.4899 0.4899 0.0000  2 Fe 2.49, 2 Rh 2.67
Rh 0.7316 0.2316 0.5000  6 Fe 2.67-2.82, 2 Y 2.86

No. 2
The following is a PBE calculation of a relaxed Li4Dy4Tl7 crystal, from Alexandria via LeMat-Bulk.

a b c (Å): 11.3465 11.3465 11.3465
angles (deg): 94.07 94.07 149.08
Last column: nearest neighbours and their distance in Å.
Sites, in units of the cell vectors:
Li 0.0981 0.5981 0.1962  6 Tl 2.81-2.93, 2 Li 3.02
Li 0.0981 0.9019 0.5000  6 Tl 2.81-2.93, 2 Li 3.02
Li 0.4019 0.5981 0.5000  6 Tl 2.81-2.93, 2 Li 3.02
Li 0.4019 0.9019 0.8038  6 Tl 2.81-2.93, 2 Li 3.02
Li 0.5981 0.0981 0.1962  6 Tl 2.81-2.93, 2 Li 3.02
Li 0.5981 0.4019 0.5000  6 Tl 2.81-2.93, 2 Li 3.02
Li 0.9019 0.0981 0.5000  6 Tl 2.81-2.93, 2 Li 3.02
Li 0.9019 0.4019 0.8038  6 Tl 2.81-2.93, 2 Li 3.02
Dy 0.0000 0.1884 0.1884  7 Tl 3.17-3.41
Dy 0.0000 0.8116 0.8116  7 Tl 3.17-3.41
Dy 0.1884 0.0000 0.1884  7 Tl 3.17-3.41
Dy 0.3614 0.3614 0.7228  7 Tl 3.18-3.44
Dy 0.3614 0.6386 0.0000  7 Tl 3.18-3.44
Dy 0.6386 0.3614 0.0000  7 Tl 3.18-3.44
Dy 0.6386 0.6386 0.2772  7 Tl 3.18-3.44
Dy 0.8116 0.0000 0.8116  7 Tl 3.17-3.41
Tl 0.0000 0.3998 0.3998  4 Li 2.91, 1 Tl 3.10
Tl 0.0000 0.6002 0.6002  4 Li 2.91, 1 Tl 3.10
Tl 0.2043 0.2043 0.4087  4 Li 2.81
Tl 0.2043 0.7957 0.0000  4 Li 2.81
Tl 0.2099 0.5000 0.7099  4 Li 2.93, 2 Dy 3.18
Tl 0.2524 0.2524 0.0000  2 Tl 3.00-3.05, 4 Dy 3.29
Tl 0.3998 0.0000 0.3998  4 Li 2.91, 1 Tl 3.10
Tl 0.5000 0.2099 0.7099  4 Li 2.93, 2 Dy 3.18
Tl 0.5000 0.7901 0.2901  4 Li 2.93, 2 Dy 3.18
Tl 0.6002 0.0000 0.6002  4 Li 2.91, 1 Tl 3.10
Tl 0.7476 0.7476 0.0000  2 Tl 3.00-3.05, 4 Dy 3.29
Tl 0.7901 0.5000 0.2901  4 Li 2.93, 2 Dy 3.18
Tl 0.7957 0.2043 0.0000  4 Li 2.81
Tl 0.7957 0.7957 0.5913  4 Li 2.81

No. 3
The following is a PBE calculation of a relaxed NaTl4Cd3 crystal, from Alexandria via LeMat-Bulk.

a b c (Å): 10.1734 8.4956 5.0853
angles (deg): 90.00 90.00 90.00
Last column: nearest neighbours and their distance in Å.
Sites, in units of the cell vectors:
Na 0.0000 0.0000 0.0000  8 Tl 3.36, 4 Cd 3.59-3.60
Na 0.5000 0.0000 0.0000  8 Tl 3.36, 4 Cd 3.59-3.60
Tl 0.0000 0.2583 0.5000  6 Cd 3.27-3.36, 2 Na 3.36, 4 Tl 3.59-3.60
Tl 0.0000 0.7417 0.5000  6 Cd 3.27-3.36, 2 Na 3.36, 4 Tl 3.59-3.60
Tl 0.2500 0.2584 0.0008  6 Cd 3.27-3.36, 2 Na 3.36, 4 Tl 3.59-3.60
Tl 0.2500 0.7416 0.0008  6 Cd 3.27-3.36, 2 Na 3.36, 4 Tl 3.59-3.60
Tl 0.5000 0.2583 0.5000  6 Cd 3.27-3.36, 2 Na 3.36, 4 Tl 3.59-3.60
Tl 0.5000 0.7417 0.5000  6 Cd 3.27-3.36, 2 Na 3.36, 4 Tl 3.59-3.60
Tl 0.7500 0.2584 0.9992  6 Cd 3.27-3.36, 2 Na 3.36, 4 Tl 3.59-3.60
Tl 0.7500 0.7416 0.9992  6 Cd 3.27-3.36, 2 Na 3.36, 4 Tl 3.59-3.60
Cd 0.0000 0.5000 0.0000  8 Tl 3.27, 4 Cd 3.59-3.60
Cd 0.2500 0.0000 0.5007  8 Tl 3.36, 4 Na 3.59-3.60
Cd 0.2500 0.5000 0.5010  8 Tl 3.27, 4 Cd 3.59-3.60
Cd 0.5000 0.5000 0.0000  8 Tl 3.27, 4 Cd 3.59-3.60
Cd 0.7500 0.0000 0.4993  8 Tl 3.36, 4 Na 3.59-3.60
Cd 0.7500 0.5000 0.4990  8 Tl 3.27, 4 Cd 3.59-3.60

no.,total moment (μB per cell),final energy (eV per formula unit),ΔE_f (meV/atom)
1,5.498,-30.62,29.0
2,0.000,-46.78,-276.5
3,0.000,-13.67,-17.5